The following is a DFT calculation (GGA-PBE) of crystalline Pr5SmYTm2 at its relaxed geometry.

Output
Total energy ... -4.743 eV per atom
DOS at the Fermi energy ... 1.655 states/eV/atom
Total magnetic moment ... 0.00 μB per formula unit

Cell: 10.7203 10.7203 10.7826 Å, 90.00 90.00 149.39°
Last column: nearest neighbours and their distance in Å.
Sites, in units of the cell vectors:
Pr 0.0137 0.9863 0.5000  2 Y 3.32, 3 Tm 3.50-3.60
Pr 0.2790 0.7210 0.7950  1 Y 3.11, 1 Tm 3.40, 2 Pr 3.42
Pr 0.2954 0.7046 0.1884  2 Pr 3.42, 1 Y 3.48, 2 Sm 3.52, 3 Tm 3.56-3.81
Pr 0.3855 0.6145 0.5047  6 Pr 3.61-3.89, 4 Tm 3.67-3.69, 1 Sm 3.83
Pr 0.4838 0.5162 0.2273  2 Y 3.27-3.42, 2 Tm 3.54, 2 Pr 3.61-3.62
Pr 0.5162 0.4838 0.7273  2 Y 3.27-3.42, 2 Tm 3.54, 2 Pr 3.61-3.62
Pr 0.6145 0.3855 0.0047  6 Pr 3.61-3.89, 4 Tm 3.67-3.69, 1 Sm 3.83
Pr 0.7046 0.2954 0.6884  2 Pr 3.42, 1 Y 3.48, 2 Sm 3.52, 3 Tm 3.56-3.81
Pr 0.7210 0.2790 0.2950  1 Y 3.11, 1 Tm 3.40, 2 Pr 3.42
Pr 0.9863 0.0137 0.0000  2 Y 3.32, 3 Tm 3.50-3.60
Sm 0.2004 0.7996 0.4937  2 Tm 3.43-3.64, 7 Pr 3.52-3.83, 2 Y 3.63
Sm 0.7996 0.2004 0.9937  2 Tm 3.43-3.64, 7 Pr 3.52-3.83, 2 Y 3.63
Y 0.4070 0.5930 0.9465  6 Pr 3.11-3.48
Y 0.5930 0.4070 0.4465  6 Pr 3.11-3.48
Tm 0.1121 0.8879 0.2241  1 Sm 3.43, 7 Pr 3.55-3.81, 2 Y 3.73
Tm 0.1144 0.8856 0.7880  9 Pr 3.40-3.74, 1 Sm 3.64
Tm 0.8856 0.1144 0.2880  9 Pr 3.40-3.74, 1 Sm 3.64
Tm 0.8879 0.1121 0.7241  1 Sm 3.43, 7 Pr 3.55-3.81, 2 Y 3.73